(1)
YThAs2 | PBE-GGA | optimized geometry

The structure in POSCAR format:
```
YThAs2
1.0
-0.547 3.147 2.733
-3.216 2.664 -0.477
-5.155 -2.092 4.600
Y Th As
1 1 2
Cartesian
0.000 0.000 0.000
-4.459 1.860 3.428
-6.716 2.761 5.169
-2.201 0.958 1.686
```

Values from the calculation:
Total DFT energy (no corrections) = -7.276 eV per atom
Density of states at the Fermi level = 0.4708 states/eV per atom
ΔE_f = -1480 meV/atom
Energy above the most stable polymorph in this dataset = 0.0005 eV per atom
Crystal system = trigonal


(2)
PuCdGeO6 | PBE-GGA | optimized geometry

The structure in POSCAR format:
```
PuCdGeO6
1.0
-3.355 -0.129 4.112
3.211 -4.122 -0.936
6.813 4.017 5.684
Pu Cd Ge O
2 2 2 12
Cartesian
2.726 -1.787 2.168
3.944 1.553 6.693
0.000 0.000 0.000
3.407 2.008 2.842
0.537 -0.456 3.850
6.132 0.222 5.010
0.794 -2.113 2.880
-1.205 -1.006 4.494
6.331 -1.509 4.162
7.875 0.772 4.366
2.331 -0.045 3.244
1.187 -1.273 5.482
6.892 -0.662 6.558
0.339 1.275 4.699
5.482 1.039 3.378
-0.223 0.428 2.303
4.339 -0.189 5.616
5.876 1.879 5.980
```

Values from the calculation:
Total DFT energy (no corrections) = -7.301 eV per atom
Density of states at the Fermi level = 0.5790 states/eV per atom
Formation energy without anion corrections = -1.789 eV/atom
Crystal system = trigonal


(3)
Ta2TcSb | PBE-GGA | optimized geometry

The structure in POSCAR format:
```
Ta2TcSb
1.0
3.004 0.001 0.000
-1.054 2.813 0.000
0.000 0.000 8.727
Sb Ta Tc
1 2 1
Cartesian
0.975 1.407 6.475
0.000 0.000 0.045
0.975 1.407 2.285
0.000 0.000 4.285
```

Values from the calculation:
Total DFT energy (no corrections) = -9.365 eV per atom
Density of states at the Fermi level = 0.9290 states/eV per atom
Formation energy without anion corrections = 0.184 eV/atom
Crystal system = orthorhombic